No. 1
! TlSb | Alexandria via LeMat-Bulk | PBEsol | optimized geometry; values from VASP
! - total energy (eV/cell) = -14.18
! - E_form (uncorrected) (meV per atom) = 49
! - space group = No. 12
&SYSTEM
  ibrav = 0, nat = 4, ntyp = 2
/
ATOMIC_SPECIES
Tl 204.38 Tl.upf
Sb 121.76 Sb.upf
ATOMIC_POSITIONS angstrom
Tl 1.654 0.000 0.067
Tl 8.543 0.000 5.356
Sb 3.644 0.000 2.739
Sb 6.553 0.000 2.684
CELL_PARAMETERS angstrom
6.504 -1.621 0.000
6.504 1.621 0.000
-2.811 0.000 5.424

---

No. 2
! TlSb3 | Alexandria via LeMat-Bulk | PBEsol | optimized geometry; values from VASP
! - total energy (eV/cell) = -31.95
! - E_form (uncorrected) (meV per atom) = 82
! - space group = No. 63
&SYSTEM
  ibrav = 0, nat = 8, ntyp = 2
/
ATOMIC_SPECIES
Tl 204.38 Tl.upf
Sb 121.76 Sb.upf
ATOMIC_POSITIONS angstrom
Tl 4.528 3.600 4.463
Tl 4.528 -3.600 1.488
Sb 1.968 1.862 4.463
Sb 1.968 -1.862 1.488
Sb 4.528 0.268 1.488
Sb 4.528 -0.268 4.463
Sb 7.088 1.862 4.463
Sb 7.088 -1.862 1.488
CELL_PARAMETERS angstrom
4.528 -4.319 0.000
4.528 4.319 0.000
0.000 0.000 5.951

---

No. 3
! TlSb | Alexandria via LeMat-Bulk | PBEsol | optimized geometry; values from VASP
! - total energy (eV/cell) = -7.06
! - E_form (uncorrected) (meV per atom) = 62
! - space group = No. 123
&SYSTEM
  ibrav = 0, nat = 2, ntyp = 2
/
ATOMIC_SPECIES
Tl 204.38 Tl.upf
Sb 121.76 Sb.upf
ATOMIC_POSITIONS angstrom
Tl 0.000 0.000 0.000
Sb 1.571 1.571 2.876
CELL_PARAMETERS angstrom
3.141 0.000 0.000
0.000 3.141 0.000
0.000 0.000 5.751

---

No. 4
! TlSb | Alexandria via LeMat-Bulk | PBEsol | optimized geometry; values from VASP
! - total energy (eV/cell) = -14.26
! - E_form (uncorrected) (meV per atom) = 28
! - space group = No. 12
&SYSTEM
  ibrav = 0, nat = 4, ntyp = 2
/
ATOMIC_SPECIES
Tl 204.38 Tl.upf
Sb 121.76 Sb.upf
ATOMIC_POSITIONS angstrom
Tl 0.500 0.000 1.798
Tl 8.964 0.000 3.122
Sb 3.895 0.000 0.489
Sb 5.569 0.000 4.430
CELL_PARAMETERS angstrom
5.921 -1.991 0.000
5.921 1.991 0.000
-2.377 0.000 4.920

---

Calculated values (μB per formula unit) of total moment for the records, taken in order: 0.0, 0.0, 0.0, 0.0.